Density functional theory data (GGA-PBE) for a relaxed structure of Tb4YSe6.

## Properties
DOS(E_F): 11.70 states/eV/cell
Formation energy from raw total energies: -1.8308 eV/atom
V: 1121 Å³/cell

Cell: 3.9997 13.4534 20.8379 Å, 90.00 90.00 90.00°
With the nearest neighbours (Å) after each atom.
Space group Cmcm (No. 63)
Inequivalent atoms, fractional coordinates:
Tb  0.0000  0.0892  0.1273 x8  6 Se 2.86-2.91
Tb  0.0000  0.3593  0.0385 x8  6 Se 2.86-2.95
Y  0.0000  0.1528  0.7500 x4  6 Se 2.89-2.96
Se  0.0000  0.0000  0.0000 x4  6 Tb 2.87-2.91
Se  0.0000  0.1916  0.2500 x4  2 Y 2.89, 2 Tb 2.91
Se  0.0000  0.2694  0.5907 x8  5 Tb 2.86-2.95
Se  0.0000  0.4465  0.1671 x8  3 Tb 2.89-2.92, 2 Y 2.96